Computed, not measured: a relaxed structure of Na2InIrO6 at the PBE-GGA level of DFT.

Calculated values
Crystal system: cubic
DFT total energy (eV per atom): -5.43
Space group: No. 225

Unit cell a=5.6328 b=5.6328 c=5.6328 alpha=60.00 beta=60.00 gamma=60.00
With the nearest neighbours (Å) after each atom.
Element x y z (fractional)
In 0.5000 0.5000 0.5000  6 O 2.09
Ir 0.0000 0.0000 0.0000  6 O 1.89
Na 0.2500 0.2500 0.2500  12 O 2.82
Na 0.7500 0.7500 0.7500  12 O 2.82
O 0.7626 0.2374 0.2374  1 Ir 1.89, 1 In 2.09
O 0.2374 0.7626 0.2374  1 Ir 1.89, 1 In 2.09
O 0.7626 0.7626 0.2374  1 Ir 1.89, 1 In 2.09
O 0.2374 0.2374 0.7626  1 Ir 1.89, 1 In 2.09
O 0.7626 0.2374 0.7626  1 Ir 1.89, 1 In 2.09
O 0.2374 0.7626 0.7626  1 Ir 1.89, 1 In 2.09



Computed, not measured: a relaxed structure of KNp at the PBE-GGA level of DFT.

Calculated values
Crystal system: hexagonal
DFT total energy (eV per atom): -5.84
Space group: No. 187

Unit cell a=3.2911 b=3.2932 c=7.2055 alpha=90.00 beta=90.00 gamma=119.98
With the nearest neighbours (Å) after each atom.
Element x y z (fractional)
K 0.6666 0.3333 0.7500  6 K 3.29
Np 0.3334 0.6667 0.2500  6 Np 3.29